# 1
TbNd2Dy3Sb6, optimized geometry, DFT PBE; spin magnetization = 0.00 μB/atom; density of states at the Fermi level = 1.92 states/eV per cell; energy relative to the elements, uncorrected = -1.15 eV/atom
1.0
9.661 -2.218 0.000
9.661 2.218 0.000
-2.025 0.000 8.632
Tb Nd Dy Sb
1 2 3 6
Direct
0.000 0.000 0.000
0.334 0.334 0.667
0.666 0.666 0.333
0.000 0.000 0.500
0.332 0.332 0.166
0.668 0.668 0.834
0.165 0.165 0.588
0.166 0.166 0.077
0.497 0.497 0.249
0.503 0.503 0.751
0.834 0.834 0.923
0.835 0.835 0.412

***

# 2
TbNd2DySb4, optimized geometry, DFT PBE; spin magnetization = 0.00 μB/atom; density of states at the Fermi level = 1.05 states/eV per cell; energy relative to the elements, uncorrected = -1.16 eV/atom
1.0
7.721 0.000 0.000
0.000 4.462 0.000
-2.577 0.000 7.283
Tb Nd Dy Sb
1 2 1 4
Direct
0.000 0.000 0.000
0.500 0.000 0.500
0.500 0.500 0.000
0.000 0.500 0.500
0.241 0.000 0.747
0.242 0.500 0.248
0.758 0.500 0.752
0.759 0.000 0.253

***

# 3
Tb3Nd2DySb6, optimized geometry, DFT PBE; spin magnetization = 0.00 μB/atom; density of states at the Fermi level = 1.92 states/eV per cell; energy relative to the elements, uncorrected = -1.16 eV/atom
1.0
9.675 -2.221 0.000
9.675 2.221 0.000
-2.032 0.000 8.643
Tb Nd Dy Sb
3 2 1 6
Direct
0.000 0.000 0.000
0.332 0.332 0.666
0.668 0.668 0.334
0.334 0.334 0.168
0.666 0.666 0.832
0.000 0.000 0.500
0.165 0.165 0.088
0.166 0.166 0.577
0.498 0.498 0.748
0.502 0.502 0.252
0.834 0.834 0.423
0.835 0.835 0.912

***

# 4
Tb2NdDySb4, optimized geometry, DFT PBE; spin magnetization = 0.00 μB/atom; density of states at the Fermi level = 1.06 states/eV per cell; energy relative to the elements, uncorrected = -1.15 eV/atom
1.0
7.671 0.000 0.000
0.000 4.432 0.000
-2.558 0.000 7.232
Tb Nd Dy Sb
2 1 1 4
Direct
0.000 0.000 0.000
0.500 0.500 0.000
0.000 0.500 0.500
0.500 0.000 0.500
0.253 0.500 0.248
0.256 0.000 0.755
0.744 0.000 0.245
0.747 0.500 0.752